LiTl2Os | GGA-PBEsol | optimized geometry

The total energy is -4.08 eV per atom. The formation energy is 783 meV/atom. As for the calculated volume: 18.63 Å³ per atom.

Cell and atoms, written as CIF:
```
data_LiTl2Os
_chemical_formula_sum 'Li4 Tl8 Os4'
_cell_length_a 6.680
_cell_length_b 6.680
_cell_length_c 6.680
_cell_angle_alpha 90.00
_cell_angle_beta 90.00
_cell_angle_gamma 90.00
_space_group_name_H-M_alt 'F -4 3 m'
_space_group_IT_number 216
_space_group_name_Hall 'F -4 2 3'
loop_
_atom_site_label
_atom_site_fract_x
_atom_site_fract_y
_atom_site_fract_z
Li1 0.000 0.000 0.000
Tl1 0.000 0.000 0.500
Tl2 0.250 0.250 0.750
Os1 0.250 0.250 0.250
```